Sc6Al16Ni7 at its PBEsol-relaxed geometry. Source: Alexandria, functional meta-GGA SCAN.

```
Sc6Al16Ni7
1.0
-0.845 5.654 -6.265
0.710 -2.484 -8.078
-6.852 -0.196 -4.994
Al Sc Ni
16 6 7
direct
0.666 0.002 0.666
0.881 0.357 0.881
0.666 0.666 0.666
0.881 0.881 0.357
0.881 0.881 0.881
0.334 0.334 0.334
0.998 0.334 0.334
0.119 0.643 0.119
0.334 0.998 0.334
0.334 0.334 0.998
0.357 0.881 0.881
0.643 0.119 0.119
0.666 0.666 0.002
0.119 0.119 0.119
0.119 0.119 0.643
0.002 0.666 0.666
0.305 0.305 0.695
0.695 0.305 0.305
0.305 0.695 0.695
0.695 0.695 0.305
0.305 0.695 0.305
0.695 0.305 0.695
0.500 0.000 0.000
0.000 0.000 0.000
0.000 0.500 0.000
0.500 0.500 0.000
0.500 0.000 0.500
0.000 0.500 0.500
0.000 0.000 0.500
```

Properties
ρ: 4.3 Mg/m³
Energy of formation from the pure elements: -0.67 eV per atom

***

ScAlNi6 at its PBEsol-relaxed geometry. Source: Alexandria, functional meta-GGA SCAN.

```
ScAlNi6
1.0
6.206 -0.006 0.000
-2.097 5.841 0.000
0.000 0.000 10.159
Ni Sc Al
24 4 4
direct
0.385 0.132 0.121
0.500 0.500 0.000
0.385 0.132 0.879
0.866 0.619 0.371
0.000 0.000 0.000
0.134 0.381 0.629
0.253 0.747 0.243
0.132 0.385 0.879
0.615 0.868 0.121
0.132 0.385 0.121
0.866 0.619 0.629
0.615 0.868 0.879
0.381 0.134 0.371
0.868 0.615 0.879
0.619 0.866 0.629
0.868 0.615 0.121
0.253 0.747 0.757
0.381 0.134 0.629
0.747 0.253 0.757
0.000 0.000 0.500
0.747 0.253 0.243
0.619 0.866 0.371
0.500 0.500 0.500
0.134 0.381 0.371
0.755 0.245 0.500
0.000 0.000 0.753
0.245 0.755 0.500
0.000 0.000 0.247
0.241 0.759 0.000
0.759 0.241 0.000
0.500 0.500 0.248
0.500 0.500 0.752
```

Properties
ρ: 7.7 Mg/m³
Energy of formation from the pure elements: -0.43 eV per atom

***

YScAlNi2 at its PBEsol-relaxed geometry. Source: Alexandria, functional meta-GGA SCAN.

```
YScAlNi2
1.0
-0.308 1.340 -4.168
0.887 -4.073 -1.374
-4.967 -1.088 0.018
Ni Sc Y Al
2 1 1 1
direct
0.500 0.000 0.000
0.000 0.500 0.000
0.500 0.500 0.500
0.000 0.000 0.500
0.000 0.000 0.000
```

Properties
ρ: 4.7 Mg/m³
Energy of formation from the pure elements: 0.47 eV per atom

***

AlNi2Se at its PBEsol-relaxed geometry. Source: Alexandria, functional meta-GGA SCAN.

```
AlNi2Se
1.0
3.292 0.000 0.000
0.000 3.941 0.000
0.000 0.000 3.941
Ni Se Al
2 1 1
direct
0.000 0.000 0.500
0.000 0.500 0.000
0.500 0.500 0.500
0.500 0.000 0.000
```

Properties
Uncorrected formation energy: -0.121 eV per atom
ρ: 7.3 Mg/m³